1.
Ti2HgSb2 (PBE, relaxed); uncorrected formation energy = -0.091 eV/atom; crystal system = tetragonal; density = 8.20 g/cm3; ΔE to the lowest computed polymorph = 0.199 eV/atom
1.0
7.944 0.000 0.000
0.000 7.944 0.000
0.000 0.000 3.465
Ti Hg Sb
4 2 4
Cartesian
1.037 2.935 0.000 Ti
2.935 6.907 0.000 Ti
5.009 1.037 0.000 Ti
6.907 5.009 0.000 Ti
0.000 0.000 1.732 Hg
3.972 3.972 1.732 Hg
1.236 5.208 1.732 Sb
2.736 1.236 1.732 Sb
5.208 6.708 1.732 Sb
6.708 2.736 1.732 Sb

2.
Ti3HgSb (PBE, relaxed); uncorrected formation energy = 0.724 eV/atom; crystal system = cubic; density = 6.16 g/cm3; ΔE to the lowest computed polymorph = 0.000 eV/atom
1.0
5.008 0.000 0.000
0.000 5.008 0.000
0.000 0.000 5.008
Ti Hg Sb
3 1 1
Cartesian
0.000 0.000 2.504 Ti
0.000 2.504 0.000 Ti
2.504 0.000 0.000 Ti
2.504 2.504 2.504 Hg
0.000 0.000 0.000 Sb

3.
TiHg3Sb (PBE, relaxed); uncorrected formation energy = 0.614 eV/atom; crystal system = cubic; density = 8.57 g/cm3; ΔE to the lowest computed polymorph = 0.000 eV/atom
1.0
5.308 0.000 0.000
0.000 5.308 0.000
0.000 0.000 5.308
Ti Hg Sb
1 3 1
Cartesian
0.000 0.000 0.000 Ti
0.000 0.000 2.654 Hg
0.000 2.654 0.000 Hg
2.654 0.000 0.000 Hg
2.654 2.654 2.654 Sb

4.
Ti4HgSb (PBE, relaxed); uncorrected formation energy = -0.231 eV/atom; crystal system = monoclinic; density = 7.82 g/cm3
1.0
4.930 -1.670 0.000
4.930 1.670 0.000
-2.579 0.000 6.627
Ti Hg Sb
4 1 1
Cartesian
0.808 0.000 2.221 Ti
-0.457 0.000 5.531 Ti
7.737 0.000 1.095 Ti
6.472 0.000 4.405 Ti
3.640 0.000 3.313 Hg
4.930 0.000 0.000 Sb

5.
Ti2HgSb2 (PBE, relaxed); uncorrected formation energy = -0.290 eV/atom; crystal system = tetragonal; density = 8.42 g/cm3; ΔE to the lowest computed polymorph = 0.000 eV/atom
1.0
7.617 0.000 0.000
0.000 7.617 0.000
0.000 0.000 3.670
Ti Hg Sb
4 2 4
Cartesian
1.030 2.778 0.000 Ti
2.778 6.587 0.000 Ti
4.839 1.030 0.000 Ti
6.587 4.839 0.000 Ti
0.000 0.000 0.000 Hg
3.809 3.809 0.000 Hg
1.189 4.998 1.835 Sb
2.620 1.189 1.835 Sb
4.998 6.428 1.835 Sb
6.428 2.620 1.835 Sb

6.
Tl12Hg2Sb5 (PBE, relaxed); uncorrected formation energy = 0.043 eV/atom; crystal system = monoclinic; density = 8.75 g/cm3
1.0
9.098 -3.562 0.000
9.098 3.562 0.000
-2.211 0.000 10.138
Tl Hg Sb
12 2 5
Cartesian
-0.564 0.000 3.418 Tl
3.860 1.639 9.062 Tl
5.298 1.751 4.263 Tl
10.687 1.751 5.874 Tl
7.381 0.000 1.894 Tl
12.126 1.639 1.076 Tl
3.860 -1.639 9.062 Tl
8.604 0.000 8.244 Tl
5.298 -1.751 4.263 Tl
10.687 -1.751 5.874 Tl
12.126 -1.639 1.076 Tl
16.549 0.000 6.720 Tl
9.098 2.059 0.000 Hg
9.098 -2.059 0.000 Hg
1.022 0.000 8.556 Sb
2.729 0.000 3.562 Sb
7.993 0.000 5.069 Sb
13.256 0.000 6.576 Sb
14.963 0.000 1.581 Sb

7.
TlHg2Sb (PBE, relaxed); uncorrected formation energy = 0.050 eV/atom; crystal system = monoclinic; density = 10.46 g/cm3
1.0
3.228 0.000 0.000
0.000 5.847 0.000
-0.738 0.000 6.119
Tl Hg Sb
1 2 1
Cartesian
0.000 0.000 0.000 Tl
0.469 0.000 3.112 Hg
1.744 2.923 2.017 Hg
1.312 2.923 5.065 Sb

8.
Tl6Hg23Sb (PBE, relaxed); uncorrected formation energy = 0.001 eV/atom; crystal system = cubic; density = 11.42 g/cm3
1.0
0.000 7.568 7.568
7.568 0.000 7.568
7.568 7.568 0.000
Tl Hg Sb
6 23 1
Cartesian
7.568 7.568 3.260 Tl
7.568 3.260 7.568 Tl
11.877 7.568 7.568 Tl
3.260 7.568 7.568 Tl
7.568 11.877 7.568 Tl
7.568 7.568 11.877 Tl
3.784 3.784 0.000 Hg
3.784 0.000 3.784 Hg
7.568 3.784 3.784 Hg
9.369 5.767 5.767 Hg
2.405 2.405 2.405 Hg
5.164 5.164 2.405 Hg
5.164 2.405 5.164 Hg
5.767 5.767 5.767 Hg
9.369 9.369 5.767 Hg
9.369 5.767 9.369 Hg
12.732 9.973 9.973 Hg
0.000 3.784 3.784 Hg
3.784 7.568 3.784 Hg
3.784 3.784 7.568 Hg
7.568 7.568 7.568 Hg
2.405 5.164 5.164 Hg
5.767 9.369 5.767 Hg
5.767 5.767 9.369 Hg
9.369 9.369 9.369 Hg
9.973 12.732 9.973 Hg
9.973 9.973 12.732 Hg
12.732 12.732 12.732 Hg
5.767 9.369 9.369 Hg
0.000 0.000 0.000 Sb

9.
Tl5Hg8Sb (PBE, relaxed); uncorrected formation energy = 0.019 eV/atom; crystal system = tetragonal; density = 10.88 g/cm3
1.0
-4.747 4.747 4.656
4.747 -4.747 4.656
4.747 4.747 -4.656
Tl Hg Sb
5 8 1
Cartesian
0.000 0.000 0.000 Tl
2.426 3.734 -1.273 Tl
5.759 2.426 1.273 Tl
2.321 1.013 3.383 Tl
-1.013 2.321 5.928 Tl
3.110 0.678 0.297 Hg
5.566 2.977 -1.897 Hg
4.069 -1.637 4.359 Hg
-0.819 1.769 2.759 Hg
2.977 3.928 1.897 Hg
0.678 6.384 -0.297 Hg
1.769 0.819 6.553 Hg
1.637 4.069 4.952 Hg
0.000 4.747 2.328 Sb

10.
Tl5HgSb4 (PBE, relaxed); uncorrected formation energy = 0.047 eV/atom; crystal system = monoclinic; density = 8.39 g/cm3
1.0
8.664 -1.994 0.000
8.664 1.994 0.000
-0.135 0.000 9.798
Tl Hg Sb
5 1 4
Cartesian
0.000 0.000 0.000 Tl
5.682 0.000 9.322 Tl
5.846 0.000 5.414 Tl
11.348 0.000 4.384 Tl
11.511 0.000 0.476 Tl
-0.068 0.000 4.899 Hg
2.925 0.000 7.364 Sb
7.751 0.000 2.543 Sb
9.442 0.000 7.255 Sb
14.268 0.000 2.434 Sb

11.
Tl8Hg6Sb (PBE, relaxed); uncorrected formation energy = 0.016 eV/atom; crystal system = trigonal; density = 10.73 g/cm3
1.0
5.052 2.917 5.182
-5.052 2.917 5.182
0.000 -5.834 5.182
Tl Hg Sb
8 6 1
Cartesian
0.000 0.000 1.583 Tl
-0.385 -2.102 4.864 Tl
-1.628 1.385 4.864 Tl
-2.013 -0.717 10.683 Tl
2.013 0.717 4.864 Tl
1.628 -1.385 10.683 Tl
0.385 2.102 10.683 Tl
0.000 0.000 13.965 Tl
-2.277 -2.221 7.598 Hg
-3.062 0.861 7.949 Hg
0.785 -3.082 7.949 Hg
-0.785 3.082 7.598 Hg
3.062 -0.861 7.598 Hg
2.277 2.221 7.949 Hg
0.000 0.000 7.774 Sb

Question: The lowest density belongs to which entry?
Answer: Ti3HgSb